# TbErTe (PBE, optimized geometry)
data_TbErTe
_chemical_formula_sum 'Tb1 Er1 Te1'
_symmetry_space_group_name_H-M 'P 3 m 1'
_symmetry_Int_Tables_number 156
_cell_length_a 5.1425
_cell_length_b 5.1425
_cell_length_c 3.9626
_cell_angle_alpha 90.00
_cell_angle_beta 90.00
_cell_angle_gamma 120.00
loop_
_symmetry_equiv_pos_as_xyz
'x,y,z'
'-y,x-y,z'
'-x+y,-x,z'
'-y,-x,z'
'-x+y,y,z'
'x,x-y,z'
loop_
_atom_site_label
_atom_site_type_symbol
_atom_site_fract_x
_atom_site_fract_y
_atom_site_fract_z
_atom_site_occupancy
Tb1 Tb 0.0000 0.0000 0.0000 1
Er1 Er 0.3333 0.6667 0.5081 1
Te1 Te 0.6667 0.3333 0.7266 1
# offset from the most stable computed form	8.55	kcal/mol of atoms
# Fermi-level density of states	2.2	states/eV/f.u.